No. 1
{"formula": "Li2Tb3Cd4", "functional": "GGA-PBE", "state": "relaxed", "spacegroup": "C2/m (12)", "ef_ev_per_atom": -0.230, "magmom_total_mub_per_fu": 0.00, "cell": [[5.4196, -2.5016, 0.0000], [5.4196, 2.5016, 0.0000], [-4.9635, 0.0000, 7.8675]], "species": ["Li", "Li", "Tb", "Tb", "Tb", "Cd", "Cd", "Cd", "Cd"], "fractional_positions": [[0.1136, 0.1136, 0.2818], [0.8864, 0.8864, 0.7182], [0.1654, 0.1654, 0.6679], [0.5000, 0.5000, 0.0000], [0.8346, 0.8346, 0.3321], [0.2177, 0.2177, 0.0594], [0.4373, 0.4373, 0.6102], [0.5627, 0.5627, 0.3898], [0.7823, 0.7823, 0.9406]]}

No. 2
{"formula": "LiTb2Cd3", "functional": "GGA-PBE", "state": "relaxed", "spacegroup": "P4/mmm (123)", "ef_ev_per_atom": -0.278, "magmom_total_mub_per_fu": 0.00, "cell": [[3.6041, 0.0000, 0.0000], [0.0000, 3.6041, 0.0000], [0.0000, 0.0000, 11.1755]], "species": ["Li", "Tb", "Tb", "Cd", "Cd", "Cd"], "fractional_positions": [[0.0000, 0.0000, 0.0000], [0.0000, 0.0000, 0.3235], [0.0000, 0.0000, 0.6765], [0.5000, 0.5000, 0.1413], [0.5000, 0.5000, 0.5000], [0.5000, 0.5000, 0.8587]]}

No. 3
{"formula": "LiTb2Cd4", "functional": "GGA-PBE", "state": "relaxed", "spacegroup": "Cmmm (65)", "ef_ev_per_atom": -0.021, "magmom_total_mub_per_fu": 0.00, "cell": [[2.5603, -8.3134, 0.0000], [2.5603, 8.3134, 0.0000], [0.0000, 0.0000, 4.6620]], "species": ["Li", "Tb", "Tb", "Cd", "Cd", "Cd", "Cd"], "fractional_positions": [[0.0000, 0.0000, 0.0000], [0.3211, 0.6789, 0.5000], [0.6789, 0.3211, 0.5000], [0.0829, 0.9171, 0.5000], [0.1909, 0.8091, 0.0000], [0.8091, 0.1909, 0.0000], [0.9171, 0.0829, 0.5000]]}

No. 4
{"formula": "Li2TbTl2Cd2", "functional": "GGA-PBE", "state": "relaxed", "spacegroup": "C2/m (12)", "ef_ev_per_atom": -0.236, "magmom_total_mub_per_fu": 0.00, "cell": [[4.3413, -2.4251, 0.0000], [4.3413, 2.4251, 0.0000], [-2.3394, 0.0000, 7.5721]], "species": ["Li", "Li", "Tb", "Tl", "Tl", "Cd", "Cd"], "fractional_positions": [[0.1358, 0.1358, 0.4326], [0.8642, 0.8642, 0.5674], [0.0000, 0.0000, 0.0000], [0.2804, 0.2804, 0.8151], [0.7196, 0.7196, 0.1849], [0.4225, 0.4225, 0.3018], [0.5775, 0.5775, 0.6982]]}

No. 5
{"formula": "Li2Tb2TmCd5", "functional": "GGA-PBE", "state": "relaxed", "spacegroup": "P4/mbm (127)", "ef_ev_per_atom": -0.268, "magmom_total_mub_per_fu": 0.00, "cell": [[10.4572, 0.0000, 0.0000], [0.0000, 10.4572, 0.0000], [0.0000, 0.0000, 4.1448]], "species": ["Li", "Li", "Li", "Li", "Tb", "Tb", "Tb", "Tb", "Tm", "Tm", "Cd", "Cd", "Cd", "Cd", "Cd", "Cd", "Cd", "Cd", "Cd", "Cd"], "fractional_positions": [[0.1151, 0.3849, 0.0000], [0.3849, 0.8849, 0.0000], [0.6151, 0.1151, 0.0000], [0.8849, 0.6151, 0.0000], [0.1796, 0.6796, 0.0000], [0.3204, 0.1796, 0.0000], [0.6796, 0.8204, 0.0000], [0.8204, 0.3204, 0.0000], [0.0000, 0.0000, 0.0000], [0.5000, 0.5000, 0.0000], [0.0000, 0.5000, 0.5000], [0.0609, 0.2148, 0.5000], [0.2148, 0.9391, 0.5000], [0.2852, 0.4391, 0.5000], [0.4391, 0.7148, 0.5000], [0.5000, 0.0000, 0.5000], [0.5609, 0.2852, 0.5000], [0.7148, 0.5609, 0.5000], [0.7852, 0.0609, 0.5000], [0.9391, 0.7852, 0.5000]]}

No. 6
{"formula": "LiTbY2Cd4", "functional": "GGA-PBE", "state": "relaxed", "spacegroup": "R-3m (166)", "ef_ev_per_atom": -0.293, "magmom_total_mub_per_fu": 0.00, "cell": [[2.6040, 1.5034, 8.5325], [-2.6040, 1.5034, 8.5325], [0.0000, -3.0069, 8.5325]], "species": ["Li", "Tb", "Y", "Y", "Cd", "Cd", "Cd", "Cd"], "fractional_positions": [[0.0000, 0.0000, 0.0000], [0.5000, 0.5000, 0.5000], [0.2519, 0.2519, 0.2519], [0.7481, 0.7481, 0.7481], [0.1207, 0.1207, 0.1207], [0.3737, 0.3737, 0.3737], [0.6263, 0.6263, 0.6263], [0.8793, 0.8793, 0.8793]]}

No. 7
{"formula": "LiTbYCd", "functional": "GGA-PBE", "state": "relaxed", "spacegroup": "F-43m (216)", "ef_ev_per_atom": -0.130, "magmom_total_mub_per_fu": 0.00, "cell": [[0.0000, 3.7304, 3.7304], [3.7304, 0.0000, 3.7304], [3.7304, 3.7304, 0.0000]], "species": ["Li", "Tb", "Y", "Cd"], "fractional_positions": [[0.0000, 0.0000, 0.0000], [0.7500, 0.7500, 0.7500], [0.2500, 0.2500, 0.2500], [0.5000, 0.5000, 0.5000]]}

No. 8
{"formula": "LiTbZnCd", "functional": "GGA-PBE", "state": "relaxed", "spacegroup": "F-43m (216)", "ef_ev_per_atom": -0.288, "magmom_total_mub_per_fu": 0.00, "cell": [[0.0000, 3.4026, 3.4026], [3.4026, 0.0000, 3.4026], [3.4026, 3.4026, 0.0000]], "species": ["Li", "Tb", "Zn", "Cd"], "fractional_positions": [[0.0000, 0.0000, 0.0000], [0.2500, 0.2500, 0.2500], [0.5000, 0.5000, 0.5000], [0.7500, 0.7500, 0.7500]]}